(1)
This record from the Alexandria database describes an optimized crystal structure of CeNd3. The functional is PBE-GGA.

Output
Polymorph energy (0 for the lowest one) ... 0.00 eV per formula unit
Space group ... No. 221
Calculated formation energy ... 82 meV/atom

Cell: 5.1415 5.1415 5.1415 Å, 90.00 90.00 90.00°
Fractional coordinates of all 4 atoms:
Ce 0.0000 0.0000 0.0000
Nd 0.0000 0.5000 0.5000
Nd 0.5000 0.0000 0.5000
Nd 0.5000 0.5000 0.0000

(2)
This record from the Alexandria database describes an optimized crystal structure of Sc2MnHg. The functional is PBE-GGA.

Output
Space group ... No. 122
Calculated formation energy ... 303 meV/atom

Cell: 5.9407 5.9407 5.9407 Å, 103.90 103.90 121.29°
Fractional coordinates of all 8 atoms:
Sc 0.0805 0.1250 0.4555
Sc 0.3750 0.9195 0.0445
Sc 0.6695 0.6250 0.5445
Sc 0.8750 0.3305 0.9555
Mn 0.0000 0.0000 0.0000
Mn 0.7500 0.2500 0.5000
Hg 0.2500 0.7500 0.5000
Hg 0.5000 0.5000 0.0000

(3)
This record from the Alexandria database describes an optimized crystal structure of Rb2Y3Te6. The functional is PBE-GGA.

Output
Space group ... No. 12
Formation energy without anion corrections ... -1.31 eV/atom

Cell: 7.5673 7.5673 9.3018 Å, 97.81 97.81 120.00°
Fractional coordinates of all 11 atoms:
Rb 0.1665 0.8335 0.0000
Rb 0.8335 0.1665 0.0000
Y 0.0000 0.0000 0.5000
Y 0.3325 0.6675 0.5000
Y 0.6675 0.3325 0.5000
Te 0.0694 0.4003 0.7005
Te 0.2691 0.2691 0.3004
Te 0.4003 0.0694 0.7005
Te 0.5997 0.9306 0.2995
Te 0.7309 0.7309 0.6996
Te 0.9306 0.5997 0.2995

(4)
This record from the Alexandria database describes an optimized crystal structure of TlSnPb2Br. The functional is PBE-GGA.

Output
Polymorph energy (0 for the lowest one) ... 0.48 eV per formula unit
Space group ... No. 1
Formation energy without anion corrections ... -0.12 eV/atom

Cell: 3.6799 5.2148 8.6747 Å, 80.47 89.86 89.99°
Fractional coordinates of all 5 atoms:
Tl 0.0000 0.0000 0.0000
Sn 0.0077 0.7459 0.3680
Pb 0.0032 0.1844 0.5773
Pb 0.5030 0.6220 0.7099
Br 0.5000 0.4392 0.1016

(5)
This record from the Alexandria database describes an optimized crystal structure of KMgIr. The functional is PBE-GGA.

Output
Polymorph energy (0 for the lowest one) ... 0.12 eV per formula unit
Space group ... No. 107
Calculated formation energy ... 283 meV/atom

Cell: 6.6306 6.6306 6.6306 Å, 149.74 149.74 43.32°
Fractional coordinates of all 3 atoms:
K 0.0000 0.0000 0.0000
Mg 0.7348 0.7348 0.0000
Ir 0.3042 0.3042 0.0000

(6)
This record from the Alexandria database describes an optimized crystal structure of GdDyAl2. The functional is PBE-GGA.

Output
Polymorph energy (0 for the lowest one) ... 0.02 eV per formula unit
Space group ... No. 225
Calculated formation energy ... -395 meV/atom

Cell: 5.1156 5.1156 5.1156 Å, 60.00 60.00 60.00°
Fractional coordinates of all 4 atoms:
Gd 0.0000 0.0000 0.0000
Dy 0.5000 0.5000 0.5000
Al 0.2500 0.2500 0.2500
Al 0.7500 0.7500 0.7500

(7)
This record from the Alexandria database describes an optimized crystal structure of Li2ReW. The functional is PBE-GGA.

Output
Polymorph energy (0 for the lowest one) ... 0.98 eV per formula unit
Space group ... No. 65
Calculated formation energy ... 476 meV/atom

Cell: 5.2706 5.2706 2.5508 Å, 90.00 90.00 122.14°
Fractional coordinates of all 4 atoms:
Li 0.0000 0.5000 0.0000
Li 0.5000 0.0000 0.0000
Re 0.0000 0.0000 0.5000
W 0.5000 0.5000 0.5000

(8)
This record from the Alexandria database describes an optimized crystal structure of NaHf2Mo. The functional is PBE-GGA.

Output
Polymorph energy (0 for the lowest one) ... 4.50 eV per formula unit
Space group ... No. 122
Calculated formation energy ... 1563 meV/atom

Cell: 8.4964 8.4964 8.4964 Å, 133.83 133.83 67.36°
Fractional coordinates of all 8 atoms:
Na 0.0000 0.0000 0.0000
Na 0.7500 0.2500 0.5000
Hf 0.3740 0.6250 0.2490
Hf 0.3750 0.6240 0.7490
Hf 0.3760 0.1250 0.7510
Hf 0.8750 0.6260 0.2510
Mo 0.2500 0.7500 0.5000
Mo 0.5000 0.5000 0.0000

(9)
This record from the Alexandria database describes an optimized crystal structure of TiAlP2S. The functional is PBE-GGA.

Output
Polymorph energy (0 for the lowest one) ... 1.57 eV per formula unit
Space group ... No. 123
Formation energy without anion corrections ... 0.43 eV/atom

Cell: 4.5718 4.5718 4.5733 Å, 90.00 90.00 90.00°
Fractional coordinates of all 5 atoms:
Ti 0.0000 0.0000 0.0000
Al 0.5000 0.5000 0.5000
P 0.0000 0.5000 0.5000
P 0.5000 0.0000 0.5000
S 0.5000 0.5000 0.0000

(10)
This record from the Alexandria database describes an optimized crystal structure of Sc2TiCdSn. The functional is PBE-GGA.

Output
Space group ... No. 123
Calculated formation energy ... 473 meV/atom

Cell: 5.1688 5.1688 5.0201 Å, 90.00 90.00 90.00°
Fractional coordinates of all 5 atoms:
Sc 0.0000 0.5000 0.0000
Sc 0.5000 0.0000 0.0000
Ti 0.0000 0.0000 0.5000
Cd 0.0000 0.0000 0.0000
Sn 0.5000 0.5000 0.5000

(11)
This record from the Alexandria database describes an optimized crystal structure of YMn2Cd. The functional is PBE-GGA.

Output
Polymorph energy (0 for the lowest one) ... 1.50 eV per formula unit
Space group ... No. 166
Calculated formation energy ... 464 meV/atom

Cell: 9.6212 9.6212 9.6212 Å, 19.02 19.02 19.02°
Fractional coordinates of all 4 atoms:
Y 0.0000 0.0000 0.0000
Mn 0.2468 0.2468 0.2468
Mn 0.7532 0.7532 0.7532
Cd 0.5000 0.5000 0.5000

(12)
This record from the Alexandria database describes an optimized crystal structure of PmNd3Sm4. The functional is PBE-GGA.

Output
Polymorph energy (0 for the lowest one) ... 0.00 eV per formula unit
Space group ... No. 53
Calculated formation energy ... 14 meV/atom

Cell: 10.3192 7.3055 7.3049 Å, 90.00 90.00 90.00°
Fractional coordinates of all 16 atoms:
Pm 0.0000 0.0000 0.0000
Pm 0.5000 0.0000 0.5000
Nd 0.0000 0.5000 0.5000
Nd 0.2500 0.2496 0.2500
Nd 0.2500 0.7504 0.7500
Nd 0.5000 0.5000 0.0000
Nd 0.7500 0.2496 0.2500
Nd 0.7500 0.7504 0.7500
Sm 0.0000 0.0000 0.5000
Sm 0.0000 0.5000 0.0000
Sm 0.2500 0.2495 0.7500
Sm 0.2500 0.7505 0.2500
Sm 0.5000 0.0000 0.0000
Sm 0.5000 0.5000 0.5000
Sm 0.7500 0.2495 0.7500
Sm 0.7500 0.7505 0.2500

(13)
This record from the Alexandria database describes an optimized crystal structure of Rb2Cu2PbCl6. The functional is PBE-GGA.

Output
Space group ... No. 12
Formation energy without anion corrections ... -1.19 eV/atom

Cell: 7.5042 7.5042 7.9443 Å, 115.78 115.78 60.47°
Fractional coordinates of all 11 atoms:
Rb 0.2258 0.2258 0.2029
Rb 0.7742 0.7742 0.7971
Cu 0.4557 0.4557 0.8002
Cu 0.5443 0.5443 0.1998
Pb 0.0000 0.0000 0.5000
Cl 0.1969 0.6939 0.1882
Cl 0.2548 0.2548 0.6451
Cl 0.3061 0.8031 0.8118
Cl 0.6939 0.1969 0.1882
Cl 0.7452 0.7452 0.3549
Cl 0.8031 0.3061 0.8118

(14)
This record from the Alexandria database describes an optimized crystal structure of Cd2CuPb. The functional is PBE-GGA.

Output
Space group ... No. 10
Calculated formation energy ... 167 meV/atom

Cell: 3.6664 4.6059 5.6955 Å, 90.00 107.13 90.00°
Fractional coordinates of all 4 atoms:
Cd 0.1486 0.0000 0.2818
Cd 0.8514 0.0000 0.7182
Cu 0.0000 0.5000 0.5000
Pb 0.5000 0.5000 0.0000

(15)
This record from the Alexandria database describes an optimized crystal structure of CrIn2As. The functional is PBE-GGA.

Output
Space group ... No. 6
Calculated formation energy ... 145 meV/atom

Cell: 4.2535 3.7427 5.8248 Å, 90.00 111.11 90.00°
Fractional coordinates of all 4 atoms:
Cr 0.0000 0.0000 0.0000
In 0.4263 0.5000 0.8485
In 0.7365 0.0000 0.4689
As 0.1510 0.5000 0.2971